1.
CaReC2: relaxed, PBE.

Geometry as extended XYZ:
```
4
Lattice="3.109 0.000 0.000 1.555 2.693 0.000 1.555 0.898 5.812" Properties=species:S:1:pos:R:3 pbc="T T T"
Re 0.000 0.000 0.000
Ca 3.109 1.795 2.906
C 1.555 0.898 1.207
C 4.664 2.693 4.604
```

Space group: No. 166
Total moment, μB/f.u.: 0.000
Formation energy, eV per atom: 0.411
E above lowest polymorph, kJ per mole of atoms: 10.03
Total DFT energy (no corrections), eV/cell: -31.3
D(E_F), states/eV/f.u.: 2.9

2.
CaReC3: relaxed, PBE.

Geometry as extended XYZ:
```
5
Lattice="-1.937 -0.931 3.398 -2.963 -1.668 -2.146 1.906 -3.538 0.118" Properties=species:S:1:pos:R:3 pbc="T T T"
Ca 0.000 0.000 0.000
C -0.969 -0.465 1.699
C 0.953 -1.769 0.059
C -1.482 -0.834 -1.073
Re -1.497 -3.068 0.685
```

Space group: No. 221
Total moment, μB/f.u.: 0.000
Formation energy, eV per atom: 3.829
E above lowest polymorph, kJ per mole of atoms: 282.34
Total DFT energy (no corrections), eV/cell: -23.0
D(E_F), states/eV/f.u.: 4.4